(1)
Material: CsKRb2F4
Method: DFT, PBE
State: optimized geometry

Unit cell a=4.1090 b=14.8390 c=12.5693 alpha=90.00 beta=90.00 gamma=90.00
Closest atoms and distances in Å follow each position.
Space group Cmcm (No. 63)
One atom of each set of equivalent atoms:
Cs: 0.0000 0.2167 0.2500 [4 per cell]  6 F 2.95-3.08
K: 0.0000 0.0476 0.7500 [4 per cell]  4 F 2.62-2.80
Rb: 0.0000 0.3762 0.5157 [8 per cell]  6 F 2.76-3.08
F: 0.0000 0.0000 0.0000 [4 per cell]  4 Rb 2.76
F: 0.0000 0.1978 0.6156 [8 per cell]  1 K 2.80, 3 Rb 2.85-2.93, 2 Cs 2.95
F: 0.0000 0.4381 0.7500 [4 per cell]  2 K 2.62


(2)
Material: CsK2RbF4
Method: DFT, PBE
State: optimized geometry

Unit cell a=8.1036 b=11.3955 c=8.0789 alpha=90.00 beta=90.00 gamma=90.00
Closest atoms and distances in Å follow each position.
Space group Fmm2 (No. 42)
One atom of each set of equivalent atoms:
Cs: 0.0000 0.0000 0.0000 [4 per cell]  6 F 2.86-2.94
K: 0.2500 0.2500 0.2496 [8 per cell]  6 F 2.85-2.86
Rb: 0.0000 0.0000 0.4996 [4 per cell]  6 F 2.76-2.86
F: 0.0000 0.2420 0.4992 [8 per cell]  1 Rb 2.76, 4 K 2.86, 1 Cs 2.94
F: 0.2503 0.0000 0.2497 [8 per cell]  2 K 2.85, 2 Rb 2.86, 2 Cs 2.86


(3)
Material: CsK2Rb3F6
Method: DFT, PBE
State: optimized geometry

Unit cell a=6.9878 b=12.0934 c=6.9747 alpha=90.00 beta=109.61 gamma=90.00
Closest atoms and distances in Å follow each position.
Space group C2/m (No. 12)
One atom of each set of equivalent atoms:
Cs: 0.0000 0.0000 0.0000 [2 per cell]  6 F 2.93-2.95
K: 0.0000 0.3330 0.0000 [4 per cell]  6 F 2.77-2.79
Rb: 0.0000 0.1667 0.5000 [4 per cell]  6 F 2.77-2.93
Rb: 0.0000 0.5000 0.5000 [2 per cell]  6 F 2.76-2.92
F: 0.2306 0.5000 0.2467 [4 per cell]  3 Rb 2.76-2.91, 2 K 2.79, 1 Cs 2.95
F: 0.2427 0.3242 0.7554 [8 per cell]  3 Rb 2.77-2.93, 2 K 2.77-2.78, 1 Cs 2.93


(4)
Material: CsKRbF3
Method: DFT, PBE
State: optimized geometry

Unit cell a=6.9213 b=4.0645 c=10.5082 alpha=90.00 beta=101.97 gamma=90.00
Closest atoms and distances in Å follow each position.
Space group P2_1/m (No. 11)
One atom of each set of equivalent atoms:
Cs: 0.1488 0.2500 0.1892 [2 per cell]  7 F 3.08-3.16
K: 0.3676 0.2500 0.8617 [2 per cell]  5 F 2.60-2.69
Rb: 0.2644 0.7500 0.5470 [2 per cell]  6 F 2.81-2.90
F: 0.0606 0.2500 0.6657 [2 per cell]  1 K 2.63, 3 Rb 2.82-2.90
F: 0.2672 0.7500 0.9882 [2 per cell]  3 K 2.60-2.69
F: 0.4574 0.7500 0.3364 [2 per cell]  1 K 2.62, 3 Rb 2.81-2.89


(5)
Material: Cs2KRbF
Method: DFT, PBE
State: optimized geometry

distance to the lowest polymorph of the same formula = 0 meV per atom

Unit cell a=6.1729 b=6.1729 c=7.9924 alpha=90.00 beta=90.00 gamma=90.00
Closest atoms and distances in Å follow each position.
Space group P4/mmm (No. 123)
One atom of each set of equivalent atoms:
Cs: 0.0000 0.5000 0.0000 [2 per cell]  2 F 3.09
K: 0.0000 0.0000 0.5000 [1 per cell]  4 Rb 4.36
Rb: 0.5000 0.5000 0.5000 [1 per cell]  2 F 4.00, 4 K 4.36
F: 0.5000 0.5000 0.0000 [1 per cell]  4 Cs 3.09


(6)
Material: CsKReF6
Method: DFT, PBE
State: optimized geometry

Unit cell a=6.5961 b=6.5961 c=10.6411 alpha=90.00 beta=90.00 gamma=120.00
Closest atoms and distances in Å follow each position.
Space group P-31c (No. 163)
One atom of each set of equivalent atoms:
Cs: 0.0000 0.0000 0.0000 [2 per cell]  6 F 2.98
K: 0.3333 0.6667 0.2500 [2 per cell]  6 F 2.71
Re: 0.3333 0.6667 0.7500 [2 per cell]  6 F 1.99
F: 0.0782 0.4173 0.6474 [12 per cell]  1 Re 1.99


(7)
Material: CsKRhF6
Method: DFT, PBE
State: optimized geometry

Unit cell a=6.3615 b=11.0442 c=5.7767 alpha=90.00 beta=90.05 gamma=90.00
Closest atoms and distances in Å follow each position.
Space group C2 (No. 5)
One atom of each set of equivalent atoms:
Cs: 0.0000 0.0000 0.0000 [2 per cell]  6 F 3.01
K: 0.0000 0.3336 0.5000 [2 per cell]  6 F 2.65-2.66
Rh: 0.0000 0.6665 0.5000 [2 per cell]  6 F 1.96
F: 0.1235 0.5395 0.3063 [4 per cell]  1 Rh 1.96
F: 0.1273 0.7922 0.3072 [4 per cell]  1 Rh 1.96
F: 0.2463 0.1679 0.3078 [4 per cell]  1 Rh 1.96


(8)
Material: CsK2RhF6
Method: DFT, PBE
State: optimized geometry

Unit cell a=6.3039 b=6.8789 c=10.9429 alpha=90.00 beta=124.13 gamma=90.00
Closest atoms and distances in Å follow each position.
Space group P2_1/c (No. 14)
One atom of each set of equivalent atoms:
Cs: 0.0000 0.0000 0.0000 [2 per cell]  6 F 2.80-3.14
K: 0.2193 0.0284 0.7263 [4 per cell]  6 F 2.66-2.81
Rh: 0.5000 0.0000 0.5000 [2 per cell]  6 F 2.02-2.04
F: 0.2079 0.1499 0.4814 [4 per cell]  1 Rh 2.02
F: 0.2496 0.7214 0.8875 [4 per cell]  1 Rh 2.04
F: 0.4240 0.1180 0.3094 [4 per cell]  1 Rh 2.03


(9)
Material: CsK2RuF6
Method: DFT, PBE
State: optimized geometry

Unit cell a=9.5303 b=9.5303 c=9.5303 alpha=90.00 beta=90.00 gamma=90.00
Closest atoms and distances in Å follow each position.
Space group Fm-3m (No. 225)
One atom of each set of equivalent atoms:
Cs: 0.0000 0.0000 0.0000 [4 per cell]  6 F 2.74
K: 0.2500 0.2500 0.2500 [8 per cell]  12 F 3.39
Ru: 0.0000 0.0000 0.5000 [4 per cell]  6 F 2.02
F: 0.0000 0.0000 0.2878 [24 per cell]  1 Ru 2.02


(10)
Material: Cs2KRuF6
Method: DFT, PBE
State: optimized geometry

Unit cell a=9.2507 b=9.2507 c=9.2507 alpha=90.00 beta=90.00 gamma=90.00
Closest atoms and distances in Å follow each position.
Space group Fm-3m (No. 225)
One atom of each set of equivalent atoms:
Cs: 0.2500 0.2500 0.2500 [8 per cell]  12 F 3.28
K: 0.0000 0.0000 0.0000 [4 per cell]  6 F 2.59
Ru: 0.0000 0.0000 0.5000 [4 per cell]  6 F 2.04
F: 0.0000 0.0000 0.2799 [24 per cell]  1 Ru 2.04


(11)
Material: CsKRuF6
Method: DFT, PBE
State: optimized geometry

Unit cell a=10.5818 b=6.1158 c=5.2415 alpha=90.00 beta=90.07 gamma=90.00
Closest atoms and distances in Å follow each position.
Space group Cm (No. 8)
One atom of each set of equivalent atoms:
Cs: 0.0000 0.0000 0.0000 [2 per cell]  12 F 3.07-3.43
K: 0.1664 0.5000 0.4762 [2 per cell]  9 F 2.82-3.07
Ru: 0.3336 0.0000 0.6685 [2 per cell]  6 F 1.96
F: 0.1808 0.0000 0.4582 [2 per cell]  1 Ru 1.96
F: 0.2560 0.2315 0.8750 [4 per cell]  1 Ru 1.96
F: 0.4105 0.2301 0.4606 [4 per cell]  1 Ru 1.96
F: 0.4877 0.0000 0.8765 [2 per cell]  1 Ru 1.96


(12)
Material: Cs2KSF6
Method: DFT, PBE
State: optimized geometry

Unit cell a=6.2940 b=6.2940 c=10.6389 alpha=90.00 beta=90.00 gamma=90.00
Closest atoms and distances in Å follow each position.
Space group I4/mmm (No. 139)
One atom of each set of equivalent atoms:
Cs: 0.0000 0.5000 0.2500 [4 per cell]  12 F 3.15-3.49
K: 0.0000 0.0000 0.0000 [2 per cell]  6 F 2.56-2.61
S: 0.0000 0.0000 0.5000 [2 per cell]  4 F 1.84
F: 0.0000 0.0000 0.2409 [4 per cell]  1 K 2.56, 1 S 2.76
F: 0.2072 0.2072 0.5000 [8 per cell]  1 S 1.84


(13)
Material: CsK2SbF8
Method: DFT, PBE
State: optimized geometry

Unit cell a=4.8569 b=6.1456 c=8.7489 alpha=89.99 beta=89.92 gamma=78.98
Closest atoms and distances in Å follow each position.
Space group P-1 (No. 2)
One atom of each set of equivalent atoms:
Cs: 0.0000 0.0000 0.0000 [1 per cell]  4 F 2.88-3.01
K: 0.4984 0.4996 0.2247 [2 per cell]  2 F 2.48
Sb: 0.0000 0.0000 0.5000 [1 per cell]  6 F 1.92
F: 0.1089 0.1856 0.6571 [2 per cell]  1 Sb 1.92
F: 0.1101 0.1851 0.3427 [2 per cell]  1 Sb 1.92
F: 0.3604 0.8049 0.5002 [2 per cell]  1 Sb 1.92
F: 0.4167 0.2756 0.9995 [2 per cell]  2 K 2.48


(14)
Material: CsK2SbF6
Method: DFT, PBE
State: optimized geometry

distance to the lowest polymorph of the same formula = 137 meV per atom

Unit cell a=9.9739 b=9.9739 c=9.9739 alpha=90.00 beta=90.00 gamma=90.00
Closest atoms and distances in Å follow each position.
Space group Fm-3m (No. 225)
One atom of each set of equivalent atoms:
Cs: 0.0000 0.0000 0.0000 [4 per cell]  6 F 2.79
K: 0.2500 0.2500 0.2500 [8 per cell]  12 F 3.54
Sb: 0.0000 0.0000 0.5000 [4 per cell]  6 F 2.20
F: 0.0000 0.0000 0.2797 [24 per cell]  1 Sb 2.20


(15)
Material: CsK2SbF6
Method: DFT, PBE
State: optimized geometry

distance to the lowest polymorph of the same formula = 0 meV per atom

Unit cell a=6.8207 b=6.8207 c=16.3228 alpha=90.00 beta=90.00 gamma=120.00
Closest atoms and distances in Å follow each position.
Space group R3 (No. 146, hexagonal axes)
One atom of each set of equivalent atoms:
Cs: 0.0000 0.0000 0.0000 [3 per cell]  6 F 2.95-3.09
K: 0.0000 0.0000 0.2281 [3 per cell]  6 F 2.69-2.73
K: 0.0000 0.0000 0.7411 [3 per cell]  6 F 2.61-2.80
Sb: 0.0000 0.0000 0.5139 [3 per cell]  6 F 2.10-2.34
F: 0.0009 0.3562 0.7999 [9 per cell]  1 Sb 2.34, 1 K 2.61
F: 0.1075 0.6750 0.2659 [9 per cell]  1 Sb 2.10


(16)
Material: CsK2ScF6
Method: DFT, PBE
State: optimized geometry

distance to the lowest polymorph of the same formula = 103 meV per atom

Unit cell a=9.5960 b=9.5960 c=9.5960 alpha=90.00 beta=90.00 gamma=90.00
Closest atoms and distances in Å follow each position.
Space group Fm-3m (No. 225)
One atom of each set of equivalent atoms:
Cs: 0.0000 0.0000 0.0000 [4 per cell]  6 F 2.77
K: 0.2500 0.2500 0.2500 [8 per cell]  12 F 3.41
Sc: 0.0000 0.0000 0.5000 [4 per cell]  6 F 2.03
F: 0.0000 0.0000 0.2883 [24 per cell]  1 Sc 2.03


(17)
Material: Cs3K2ScF9
Method: DFT, PBE
State: optimized geometry

Unit cell a=6.6831 b=6.6831 c=8.4526 alpha=90.00 beta=90.00 gamma=120.00
Closest atoms and distances in Å follow each position.
Space group P-3m1 (No. 164)
One atom of each set of equivalent atoms:
Cs: 0.0000 0.0000 0.0000 [1 per cell]  12 F 3.34-3.47
Cs: 0.3333 0.6667 0.6866 [2 per cell]  12 F 3.28-3.52
K: 0.3333 0.6667 0.2021 [2 per cell]  6 F 2.57-2.58
Sc: 0.0000 0.0000 0.5000 [1 per cell]  6 F 2.04
F: 0.0000 0.5000 0.0000 [3 per cell]  2 K 2.58
F: 0.1438 0.2875 0.3604 [6 per cell]  1 Sc 2.04


(18)
Material: CsK2ScF6
Method: DFT, PBE
State: optimized geometry

distance to the lowest polymorph of the same formula = 0 meV per atom

Unit cell a=6.3625 b=6.8706 c=11.0886 alpha=90.00 beta=123.88 gamma=90.00
Closest atoms and distances in Å follow each position.
Space group P2_1/c (No. 14)
One atom of each set of equivalent atoms:
Cs: 0.0000 0.0000 0.0000 [2 per cell]  6 F 2.83-3.12
K: 0.2194 0.0324 0.7251 [4 per cell]  6 F 2.64-2.89
Sc: 0.5000 0.0000 0.5000 [2 per cell]  6 F 2.03-2.06
F: 0.2012 0.1448 0.4771 [4 per cell]  1 Sc 2.03
F: 0.2575 0.7303 0.8915 [4 per cell]  1 Sc 2.06
F: 0.4223 0.1127 0.3077 [4 per cell]  1 Sc 2.05


(19)
Material: Cs2KScF6
Method: DFT, PBE
State: optimized geometry

Unit cell a=9.3237 b=9.3237 c=9.3237 alpha=90.00 beta=90.00 gamma=90.00
Closest atoms and distances in Å follow each position.
Space group Fm-3m (No. 225)
One atom of each set of equivalent atoms:
Cs: 0.2500 0.2500 0.2500 [8 per cell]  12 F 3.31
K: 0.0000 0.0000 0.0000 [4 per cell]  6 F 2.62
Sc: 0.0000 0.0000 0.5000 [4 per cell]  6 F 2.04
F: 0.0000 0.0000 0.2807 [24 per cell]  1 Sc 2.04


(20)
Material: Cs2KSc3F12
Method: DFT, PBE
State: optimized geometry

Unit cell a=7.9286 b=7.9286 c=19.3164 alpha=90.00 beta=90.00 gamma=120.00
Closest atoms and distances in Å follow each position.
Space group R-3m (No. 166, hexagonal axes)
One atom of each set of equivalent atoms:
Cs: 0.0000 0.0000 0.1252 [6 per cell]  3 F 2.97
K: 0.0000 0.0000 0.5000 [3 per cell]  6 F 2.71
Sc: 0.0000 0.5000 0.0000 [9 per cell]  6 F 1.98-2.06
F: 0.0182 0.5091 0.8976 [18 per cell]  1 Sc 1.98
F: 0.0846 0.5423 0.3267 [18 per cell]  2 Sc 2.06


E_form (uncorrected): -2.61; -2.66; -2.67; -2.66; -0.96; -2.50; -2.21; -2.36; -2.25; -2.38; -2.32; -2.17; -2.57; -2.51; -2.65; -3.20; -2.93; -3.30; -3.34; -3.63 (eV/atom)
VASP energy: -32.26; -32.80; -49.26; -24.47; -10.43; -48.11; -40.38; -45.20; -46.10; -47.14; -43.35; -39.83; -53.01; -43.52; -44.90; -52.61; -71.84; -53.64; -53.74; -109.56 (eV per formula unit)
M_tot: 0.02; 0.00; 0.02; 0.04; 0.00; 0.33; 0.11; 0.02; 0.10; 0.10; 0.22; 0.10; 0.00; 0.00; 0.00; 0.00; 0.08; 0.02; 0.00; 0.02 (μB per atom)